## Ac2SiSn2 (PBE)

Data for crystalline Ac2SiSn2 at its relaxed geometry.

It has space group I4/mmm (No. 139), with a = 4.158 Å, b = 4.158 Å, c = 18.636 Å, α = 90.00°, β = 90.00° and γ = 90.00°. The inequivalent atoms are Ac at (0.000, 0.000, 0.093), Si at (0.000, 0.000, 0.500) and Sn at (0.000, 0.500, 0.250).

The total magnetic moment is 0.0 Bohr magnetons per cell. The formation energy (no corrections) is -158.2 kJ/mol of formula units. Its density of states at the Fermi level is 11.23 states/eV/cell. For the volume, the calculation gives 32.22 Å³/atom.


## Ac8SiSn2 (PBE)

Data for crystalline Ac8SiSn2 at its relaxed geometry.

It has space group C2/m (No. 12), with a = 21.157 Å, b = 5.484 Å, c = 7.480 Å, α = 90.00°, β = 103.38° and γ = 90.00°. The inequivalent atoms are Ac at (0.022, 0.000, 0.283), Ac at (0.090, 0.500, 0.955), Ac at (0.153, 0.500, 0.493), Ac at (0.216, 0.000, 0.823), Si at (0.000, 0.500, 0.500) and Sn at (0.183, 0.000, 0.255).

The total magnetic moment is 0.0 Bohr magnetons per cell. The formation energy (no corrections) is -333.6 kJ/mol of formula units. Its density of states at the Fermi level is 23.89 states/eV/cell. For the volume, the calculation gives 38.38 Å³/atom.


## Ac3Si2Sn (PBE)

Data for crystalline Ac3Si2Sn at its relaxed geometry.

It has space group R-3c (No. 167, hexagonal axes), with a = 8.4616 Å, b = 8.4616 Å, c = 20.1403 Å, α = 90.00°, β = 90.00° and γ = 120.00°. The inequivalent atoms are Ac at (0.0000, 0.3003, 0.2500), Si at (0.0000, 0.0000, 0.1485) and Sn at (0.0000, 0.0000, 0.0000).

The total magnetic moment is 0.0 Bohr magnetons per cell. The formation energy (no corrections) is -285.5 kJ/mol of formula units. Its density of states at the Fermi level is 31.07 states/eV/cell. For the volume, the calculation gives 34.69 Å³/atom.